[1]
A geometry-optimized Y3Cu4Ge4 structure. Source: Alexandria, functional GGA-PBE.

Properties
- spin magnetization (μB/f.u.) = 0.0
- density of states at the Fermi level (states/eV/f.u.) = 5.1

Unit cell a=4.007 b=4.137 c=12.601 alpha=99.49 beta=99.11 gamma=90.06
Positions (direct):
Cu (0.251, 0.251, 0.502)
Cu (0.595, 0.097, 0.191)
Cu (0.749, 0.748, 0.498)
Cu (0.405, 0.903, 0.809)
Ge (0.449, 0.448, 0.898)
Ge (0.693, 0.192, 0.384)
Ge (0.551, 0.552, 0.102)
Ge (0.307, 0.808, 0.616)
Y (0.849, 0.350, 0.700)
Y (0.151, 0.650, 0.300)
Y (0.000, 0.000, 0.000)


[2]
A geometry-optimized Y3CuGe structure. Source: Alexandria, functional GGA-PBE.

Properties
- spin magnetization (μB/f.u.) = 0.0
- density of states at the Fermi level (states/eV/f.u.) = 5.6

Unit cell a=5.214 b=5.214 c=5.214 alpha=90.00 beta=90.00 gamma=90.00
Positions (direct):
Y (0.000, 0.000, 0.500)
Y (0.000, 0.500, 0.000)
Y (0.500, 0.000, 0.000)
Ge (0.500, 0.500, 0.500)
Cu (0.000, 0.000, 0.000)


[3]
A geometry-optimized YCuGe3 structure. Source: Alexandria, functional GGA-PBE.

Properties
- spin magnetization (μB/f.u.) = 0.0
- density of states at the Fermi level (states/eV/f.u.) = 4.2

Unit cell a=5.412 b=5.412 c=5.412 alpha=90.00 beta=90.00 gamma=90.00
Positions (direct):
Y (0.000, 0.000, 0.000)
Ge (0.000, 0.500, 0.000)
Ge (0.500, 0.000, 0.000)
Ge (0.000, 0.000, 0.500)
Cu (0.500, 0.500, 0.500)


[4]
A geometry-optimized YCu9Ge2 structure. Source: Alexandria, functional GGA-PBE.

Properties
- spin magnetization (μB/f.u.) = 0.0
- density of states at the Fermi level (states/eV/f.u.) = 7.0

Unit cell a=5.040 b=5.040 c=8.388 alpha=72.52 beta=72.52 gamma=60.00
Positions (direct):
Ge (0.145, 0.145, 0.566)
Ge (0.855, 0.855, 0.434)
Cu (0.665, 0.665, 0.004)
Cu (0.335, 0.335, 0.996)
Cu (0.080, 0.589, 0.742)
Cu (0.589, 0.080, 0.742)
Cu (0.920, 0.411, 0.258)
Cu (0.500, 0.500, 0.500)
Cu (0.589, 0.589, 0.742)
Cu (0.411, 0.411, 0.258)
Cu (0.411, 0.920, 0.258)
Y (0.000, 0.000, 0.000)


[5]
A geometry-optimized YCu3Ge2 structure. Source: Alexandria, functional GGA-PBE.

Properties
- spin magnetization (μB/f.u.) = 0.0
- density of states at the Fermi level (states/eV/f.u.) = 2.7

Unit cell a=4.193 b=7.773 c=7.773 alpha=55.58 beta=74.35 gamma=74.35
Positions (direct):
Ge (0.183, 0.316, 0.317)
Ge (0.817, 0.684, 0.683)
Ge (0.500, 0.175, 0.825)
Ge (0.500, 0.825, 0.175)
Cu (0.676, 0.524, 0.124)
Cu (0.000, 0.665, 0.335)
Cu (0.000, 0.335, 0.665)
Cu (0.324, 0.476, 0.876)
Cu (0.324, 0.876, 0.476)
Cu (0.676, 0.124, 0.524)
Y (0.864, 0.136, 0.136)
Y (0.136, 0.864, 0.864)


[6]
A geometry-optimized Y3CuGe2 structure. Source: Alexandria, functional GGA-PBE.

Properties
- spin magnetization (μB/f.u.) = 0.0
- density of states at the Fermi level (states/eV/f.u.) = 4.6

Unit cell a=4.219 b=11.485 c=11.400 alpha=90.00 beta=90.00 gamma=90.00
Positions (direct):
Y (0.750, 0.304, 0.789)
Y (0.750, 0.624, 0.941)
Y (0.250, 0.804, 0.711)
Y (0.750, 0.876, 0.441)
Y (0.250, 0.438, 0.377)
Y (0.750, 0.196, 0.289)
Y (0.250, 0.062, 0.877)
Y (0.250, 0.696, 0.211)
Y (0.250, 0.124, 0.559)
Y (0.250, 0.376, 0.059)
Y (0.750, 0.938, 0.123)
Y (0.750, 0.562, 0.623)
Cu (0.750, 0.865, 0.867)
Cu (0.250, 0.135, 0.133)
Cu (0.750, 0.635, 0.367)
Cu (0.250, 0.365, 0.633)
Ge (0.250, 0.004, 0.310)
Ge (0.250, 0.496, 0.810)
Ge (0.750, 0.184, 0.021)
Ge (0.750, 0.996, 0.690)
Ge (0.750, 0.504, 0.190)
Ge (0.250, 0.816, 0.979)
Ge (0.750, 0.316, 0.521)
Ge (0.250, 0.684, 0.479)


[7]
A geometry-optimized YCu6Ge2 structure. Source: Alexandria, functional GGA-PBE.

Properties
- spin magnetization (μB/f.u.) = 0.0
- density of states at the Fermi level (states/eV/f.u.) = 4.6

Unit cell a=4.086 b=4.086 c=8.046 alpha=90.00 beta=90.00 gamma=90.00
Positions (direct):
Cu (0.000, 0.000, 0.500)
Cu (0.500, 0.000, 0.684)
Cu (0.500, 0.500, 0.500)
Cu (0.000, 0.500, 0.684)
Cu (0.000, 0.500, 0.316)
Cu (0.500, 0.000, 0.316)
Y (0.000, 0.000, 0.000)
Ge (0.500, 0.500, 0.155)
Ge (0.500, 0.500, 0.845)


[8]
A geometry-optimized Y2CuGe2 structure. Source: Alexandria, functional GGA-PBE.

Properties
- spin magnetization (μB/f.u.) = 0.0
- density of states at the Fermi level (states/eV/f.u.) = 3.1

Unit cell a=6.932 b=6.932 c=4.339 alpha=90.00 beta=90.00 gamma=90.00
Positions (direct):
Ge (0.631, 0.131, 0.000)
Ge (0.369, 0.869, 0.000)
Ge (0.869, 0.631, 0.000)
Ge (0.131, 0.369, 0.000)
Cu (0.500, 0.500, 0.000)
Cu (0.000, 0.000, 0.000)
Y (0.825, 0.325, 0.500)
Y (0.175, 0.675, 0.500)
Y (0.325, 0.175, 0.500)
Y (0.675, 0.825, 0.500)


[9]
A geometry-optimized Y3CuGe3 structure. Source: Alexandria, functional GGA-PBE.

Properties
- spin magnetization (μB/f.u.) = 0.0
- density of states at the Fermi level (states/eV/f.u.) = 3.1

Unit cell a=4.271 b=5.741 c=13.237 alpha=84.58 beta=80.72 gamma=68.16
Positions (direct):
Y (0.532, 0.318, 0.619)
Y (0.257, 0.261, 0.226)
Y (0.468, 0.682, 0.381)
Y (0.743, 0.739, 0.774)
Y (0.399, 0.279, 0.923)
Y (0.601, 0.721, 0.077)
Ge (0.967, 0.833, 0.234)
Ge (0.033, 0.167, 0.766)
Ge (0.138, 0.270, 0.454)
Ge (0.877, 0.170, 0.076)
Ge (0.862, 0.730, 0.546)
Ge (0.123, 0.830, 0.924)
Cu (0.759, 0.086, 0.396)
Cu (0.241, 0.914, 0.604)


[10]
A geometry-optimized Y2CuGe3 structure. Source: Alexandria, functional GGA-PBE.

Properties
- spin magnetization (μB/f.u.) = 0.0
- density of states at the Fermi level (states/eV/f.u.) = 2.2

Unit cell a=5.810 b=5.810 c=8.250 alpha=110.06 beta=110.06 gamma=91.50
Positions (direct):
Y (0.250, 0.750, 0.500)
Y (0.242, 0.242, 0.000)
Y (0.750, 0.250, 0.500)
Y (0.758, 0.758, 0.000)
Ge (0.653, 0.175, 0.829)
Ge (0.170, 0.170, 0.341)
Ge (0.825, 0.347, 0.171)
Ge (0.175, 0.653, 0.829)
Ge (0.347, 0.825, 0.171)
Ge (0.830, 0.830, 0.659)
Cu (0.333, 0.333, 0.666)
Cu (0.667, 0.667, 0.334)


[11]
A geometry-optimized Y3Cu2Ge3 structure. Source: Alexandria, functional GGA-PBE.

Properties
- spin magnetization (μB/f.u.) = 0.9
- density of states at the Fermi level (states/eV/f.u.) = 3.7

Unit cell a=4.227 b=5.706 c=14.197 alpha=90.00 beta=90.00 gamma=111.74
Site moments in Bohr magnetons follow the coordinates.
Positions (direct):
Ge (0.614, 0.228, 0.041)  0.00
Ge (0.614, 0.228, 0.459)  0.00
Ge (0.386, 0.772, 0.959)  0.00
Ge (0.338, 0.676, 0.250)  -0.01
Ge (0.662, 0.324, 0.750)  -0.01
Ge (0.386, 0.772, 0.541)  0.00
Cu (0.788, 0.576, 0.907)  0.02
Cu (0.212, 0.424, 0.407)  0.02
Cu (0.212, 0.424, 0.093)  0.02
Cu (0.788, 0.576, 0.593)  0.02
Y (0.634, 0.268, 0.250)  0.19
Y (0.917, 0.834, 0.387)  0.11
Y (0.083, 0.166, 0.887)  0.11
Y (0.366, 0.732, 0.750)  0.19
Y (0.083, 0.166, 0.613)  0.11
Y (0.917, 0.834, 0.113)  0.11


[12]
A geometry-optimized Y3Cu4Ge4 structure. Source: Alexandria, functional GGA-PBE.

Properties
- spin magnetization (μB/f.u.) = 0.0
- density of states at the Fermi level (states/eV/f.u.) = 2.5

Unit cell a=4.211 b=6.671 c=8.029 alpha=114.54 beta=105.24 gamma=90.00
Positions (direct):
Ge (0.783, 0.283, 0.565)
Ge (0.500, 0.809, 0.000)
Ge (0.217, 0.717, 0.435)
Ge (0.500, 0.191, 0.000)
Cu (0.332, 0.520, 0.663)
Cu (0.332, 0.143, 0.663)
Cu (0.668, 0.857, 0.337)
Cu (0.668, 0.480, 0.337)
Y (0.130, 0.130, 0.260)
Y (0.870, 0.870, 0.740)
Y (0.000, 0.500, 0.000)


[13]
A geometry-optimized Y2CuGe3 structure. Source: Alexandria, functional GGA-PBE.

Properties
- spin magnetization (μB/f.u.) = 0.0
- density of states at the Fermi level (states/eV/f.u.) = 2.7

Unit cell a=4.051 b=4.241 c=7.102 alpha=90.00 beta=90.00 gamma=90.00
Positions (direct):
Ge (0.500, 0.000, 0.837)
Ge (0.500, 0.500, 0.653)
Ge (0.500, 0.000, 0.185)
Cu (0.500, 0.500, 0.324)
Y (0.000, 0.500, 0.997)
Y (0.000, 0.000, 0.505)


[14]
A geometry-optimized YCu12Ge6 structure. Source: Alexandria, functional GGA-PBE.

Properties
- spin magnetization (μB/f.u.) = 0.0
- density of states at the Fermi level (states/eV/f.u.) = 6.8

Unit cell a=6.833 b=6.833 c=6.833 alpha=102.75 beta=102.75 gamma=102.75
Positions (direct):
Cu (0.624, 0.871, 0.624)
Cu (0.112, 0.888, 0.500)
Cu (0.888, 0.112, 0.500)
Cu (0.871, 0.624, 0.624)
Cu (0.112, 0.500, 0.888)
Cu (0.129, 0.376, 0.376)
Cu (0.500, 0.112, 0.888)
Cu (0.376, 0.129, 0.376)
Cu (0.500, 0.888, 0.112)
Cu (0.888, 0.500, 0.112)
Cu (0.624, 0.624, 0.871)
Cu (0.376, 0.376, 0.129)
Ge (0.301, 0.725, 0.725)
Ge (0.275, 0.699, 0.275)
Ge (0.699, 0.275, 0.275)
Ge (0.725, 0.725, 0.301)
Ge (0.275, 0.275, 0.699)
Ge (0.725, 0.301, 0.725)
Y (0.000, 0.000, 0.000)


[15]
A geometry-optimized Y4CuGe8 structure. Source: Alexandria, functional GGA-PBE.

Properties
- spin magnetization (μB/f.u.) = 0.0
- density of states at the Fermi level (states/eV/f.u.) = 5.1

Unit cell a=3.973 b=4.082 c=16.612 alpha=90.00 beta=90.00 gamma=90.00
Positions (direct):
Ge (0.000, 0.500, 0.942)
Ge (0.500, 0.000, 0.237)
Ge (0.000, 0.500, 0.237)
Ge (0.500, 0.000, 0.561)
Ge (0.500, 0.500, 0.041)
Ge (0.000, 0.000, 0.465)
Ge (0.500, 0.500, 0.753)
Ge (0.000, 0.000, 0.747)
Y (0.000, 0.500, 0.609)
Y (0.000, 0.000, 0.097)
Y (0.500, 0.500, 0.398)
Y (0.500, 0.000, 0.891)
Cu (0.000, 0.000, 0.323)


[16]
A geometry-optimized YCuGe3 structure. Source: Alexandria, functional GGA-PBE.

Properties
- spin magnetization (μB/f.u.) = 0.0
- density of states at the Fermi level (states/eV/f.u.) = 4.2

Unit cell a=4.745 b=4.745 c=4.745 alpha=90.00 beta=90.00 gamma=90.00
Positions (direct):
Ge (0.500, 0.000, 0.000)
Ge (0.000, 0.500, 0.000)
Ge (0.000, 0.000, 0.500)
Y (0.500, 0.500, 0.500)
Cu (0.000, 0.000, 0.000)


[17]
A geometry-optimized Y2Cu3Ge2 structure. Source: Alexandria, functional GGA-PBE.

Properties
- spin magnetization (μB/f.u.) = 0.0
- density of states at the Fermi level (states/eV/f.u.) = 2.9

Unit cell a=4.013 b=3.753 c=9.221 alpha=101.74 beta=90.00 gamma=90.00
Positions (direct):
Cu (0.000, 0.000, 0.000)
Cu (0.500, 0.564, 0.129)
Cu (0.500, 0.436, 0.871)
Ge (0.500, 0.703, 0.407)
Ge (0.500, 0.297, 0.593)
Y (0.000, 0.842, 0.684)
Y (0.000, 0.158, 0.316)


[18]
A geometry-optimized Y2Zn3Cu12Ge structure. Source: Alexandria, functional GGA-PBE.

Properties
- spin magnetization (μB/f.u.) = 0.0
- density of states at the Fermi level (states/eV/f.u.) = 7.9

Unit cell a=9.538 b=9.538 c=9.538 alpha=37.79 beta=37.79 gamma=37.79
Positions (direct):
Cu (0.380, 0.912, 0.912)
Cu (0.912, 0.380, 0.912)
Cu (0.088, 0.088, 0.620)
Cu (0.194, 0.581, 0.581)
Cu (0.581, 0.581, 0.194)
Cu (0.620, 0.088, 0.088)
Cu (0.088, 0.620, 0.088)
Cu (0.806, 0.419, 0.419)
Cu (0.581, 0.194, 0.581)
Cu (0.419, 0.806, 0.419)
Cu (0.912, 0.912, 0.380)
Cu (0.419, 0.419, 0.806)
Zn (0.500, 0.000, 0.000)
Zn (0.000, 0.500, 0.000)
Zn (0.000, 0.000, 0.500)
Ge (0.000, 0.000, 0.000)
Y (0.647, 0.647, 0.647)
Y (0.353, 0.353, 0.353)


[19]
A geometry-optimized Y2ZnCu3Ge4 structure. Source: Alexandria, functional GGA-PBE.

Properties
- spin magnetization (μB/f.u.) = 0.0
- density of states at the Fermi level (states/eV/f.u.) = 1.8

Unit cell a=4.076 b=4.076 c=10.549 alpha=90.00 beta=90.00 gamma=90.00
Positions (direct):
Ge (0.500, 0.000, 0.641)
Ge (0.000, 0.000, 0.000)
Ge (0.500, 0.500, 0.000)
Ge (0.000, 0.500, 0.359)
Cu (0.000, 0.500, 0.136)
Cu (0.500, 0.000, 0.864)
Cu (0.000, 0.000, 0.500)
Y (0.000, 0.500, 0.749)
Y (0.500, 0.000, 0.251)
Zn (0.500, 0.500, 0.500)


[20]
A geometry-optimized YZr2CuGe structure. Source: Alexandria, functional GGA-PBE.

Properties
- spin magnetization (μB/f.u.) = 0.0
- density of states at the Fermi level (states/eV/f.u.) = 2.7

Unit cell a=4.897 b=5.150 c=4.897 alpha=90.00 beta=90.00 gamma=90.00
Positions (direct):
Cu (0.000, 0.000, 0.000)
Zr (0.500, 0.000, 0.000)
Zr (0.000, 0.000, 0.500)
Y (0.000, 0.500, 0.000)
Ge (0.500, 0.500, 0.500)


[21]
A geometry-optimized Yb2CuGe6 structure. Source: Alexandria, functional GGA-PBE.

Properties
- spin magnetization (μB/f.u.) = 0.3
- density of states at the Fermi level (states/eV/f.u.) = 26.6

Unit cell a=11.069 b=11.069 c=4.126 alpha=90.00 beta=90.00 gamma=159.02
Site moments in Bohr magnetons follow the coordinates.
Positions (direct):
Ge (0.285, 0.715, 0.000)  0.00
Ge (0.115, 0.885, 0.500)  0.00
Ge (0.787, 0.213, 0.500)  0.00
Ge (0.903, 0.097, 0.500)  0.00
Ge (0.401, 0.599, 0.000)  0.00
Ge (0.545, 0.455, 0.500)  0.00
Cu (0.224, 0.776, 0.500)  0.00
Yb (0.005, 0.995, 0.000)  0.11
Yb (0.667, 0.333, 0.000)  0.20


Ordered formation enthalpy at 0 K results: -0.60; 0.01; 1.06; -0.05; -0.30; -0.74; -0.23; -0.67; -0.79; -0.66; -0.70; -0.64; -0.64; 0.07; -0.60; 0.06; -0.19; 0.09; -0.47; 0.26; -0.33; unit eV per atom.